# PBE LaAgSn2, optimized geometry
# Formation energy from the elements (meV per atom): -484
# Uncorrected energy (hartree per atom): -0.16281
data_LaAgSn2
_cell_length_a 4.750
_cell_length_b 4.750
_cell_length_c 4.621
_cell_angle_alpha 90.00
_cell_angle_beta 90.00
_cell_angle_gamma 90.00
_space_group_name_H-M_alt 'P 4/m m m'
_space_group_IT_number 123
_space_group_name_Hall '-P 4 2'
loop_
_atom_site_label
_atom_site_type_symbol
_atom_site_fract_x
_atom_site_fract_y
_atom_site_fract_z
La1 La 0.000 0.000 0.000
Ag1 Ag 0.500 0.500 0.000
Sn1 Sn 0.000 0.500 0.500

# PBE Dy2TlPd6, optimized geometry
# Formation energy from the elements (meV per atom): -448
# Uncorrected energy (hartree per atom): -0.19092
data_Dy2TlPd6
_cell_length_a 3.694
_cell_length_b 8.213
_cell_length_c 12.608
_cell_angle_alpha 90.00
_cell_angle_beta 90.00
_cell_angle_gamma 90.00
_space_group_name_H-M_alt 'I m m m'
_space_group_IT_number 71
_space_group_name_Hall '-I 2 2'
loop_
_atom_site_label
_atom_site_type_symbol
_atom_site_fract_x
_atom_site_fract_y
_atom_site_fract_z
Dy1 Dy 0.000 0.000 0.161
Tl1 Tl 0.000 0.000 0.500
Pd1 Pd 0.000 0.237 0.334
Pd2 Pd 0.000 0.242 0.000

# PBE Nd4YS5, optimized geometry
# Energy relative to the elements, uncorrected (meV/atom): -2012
# Uncorrected energy (hartree per atom): -0.24360
data_Nd4YS5
_cell_length_a 4.039
_cell_length_b 4.039
_cell_length_c 28.626
_cell_angle_alpha 90.00
_cell_angle_beta 90.00
_cell_angle_gamma 90.00
_space_group_name_H-M_alt 'I 4/m m m'
_space_group_IT_number 139
_space_group_name_Hall '-I 4 2'
loop_
_atom_site_label
_atom_site_type_symbol
_atom_site_fract_x
_atom_site_fract_y
_atom_site_fract_z
Nd1 Nd 0.000 0.000 0.101
Nd2 Nd 0.000 0.000 0.303
Y1 Y 0.000 0.000 0.500
S1 S 0.000 0.000 0.000
S2 S 0.000 0.000 0.202
S3 S 0.000 0.000 0.403